No. 1
Gd3B7W: single point on PBEsol structure, SCAN.

Cell: 3.446 16.034 9.465 Å, 90.00 90.00 90.00°
Space group Cmcm (No. 63)
Symmetry-distinct sites (fractional):
Gd 0.000 0.107 0.062 (multiplicity 8)
Gd 0.000 0.245 0.750 (multiplicity 4)
B 0.000 0.273 0.031 (multiplicity 8)
B 0.000 0.365 0.147 (multiplicity 8)
B 0.000 0.458 0.750 (multiplicity 4)
B 0.000 0.479 0.092 (multiplicity 8)
W 0.000 0.054 0.750 (multiplicity 4)

Properties
For the total energy, the calculation gives -27.637 eV/atom. The density of states at the Fermi level comes out at 0.31 states/eV per atom. The crystal system is orthorhombic.

***

No. 2
CdHg2Te: single point on PBEsol structure, SCAN.

Cell: 5.814 11.916 3.009 Å, 90.00 90.07 90.00°
Space group C2/m (No. 12)
Symmetry-distinct sites (fractional):
Cd 0.000 0.000 0.000 (multiplicity 2)
Hg 0.250 0.250 0.500 (multiplicity 4)
Te 0.000 0.500 0.000 (multiplicity 2)

Properties
For the total energy, the calculation gives -50.969 eV/atom. As for the polymorph energy (0 for the lowest one): 0.000 eV/atom. The value obtained for the uncorrected formation energy is 0.03 eV/atom. The density of states at the Fermi level comes out at 0.38 states/eV per atom. The crystal system is monoclinic.

***

No. 3
Te2Au: single point on PBEsol structure, SCAN.

Cell: 16.513 8.756 4.307 Å, 90.00 90.00 90.00°
Space group Pma2 (No. 28)
Symmetry-distinct sites (fractional):
Te 0.008 0.191 0.070 (multiplicity 4)
Te 0.117 0.474 0.535 (multiplicity 4)
Te 0.132 0.856 0.500 (multiplicity 4)
Te 0.250 0.135 0.933 (multiplicity 2)
Te 0.250 0.519 0.000 (multiplicity 2)
Au 0.000 0.500 0.029 (multiplicity 2)
Au 0.125 0.166 0.516 (multiplicity 4)
Au 0.250 0.828 0.006 (multiplicity 2)

Properties
For the total energy, the calculation gives -48.043 eV/atom. The value obtained for the uncorrected formation energy is -0.16 eV/atom. The density of states at the Fermi level comes out at 0.43 states/eV per atom. The crystal system is orthorhombic.

***

No. 4
Sb2Te2Se: single point on PBEsol structure, SCAN.

Cell: 4.1845 4.1845 29.3912 Å, 90.00 90.00 120.00°
Space group R-3m (No. 166, hexagonal axes)
Symmetry-distinct sites (fractional):
Sb 0.0000 0.0000 0.1068 (multiplicity 6)
Te 0.0000 0.0000 0.2859 (multiplicity 6)
Se 0.0000 0.0000 0.5000 (multiplicity 3)

Properties
For the total energy, the calculation gives -33.980 eV/atom. As for the polymorph energy (0 for the lowest one): 0.000 eV/atom. The value obtained for the uncorrected formation energy is -0.16 eV/atom. The crystal system is trigonal.

***

No. 5
TlOs3: single point on PBEsol structure, SCAN.

Cell: 2.824 2.824 7.888 Å, 90.00 90.00 90.00°
Space group P4/mmm (No. 123)
Symmetry-distinct sites (fractional):
Tl 0.000 0.000 0.000 (multiplicity 1)
Os 0.000 0.000 0.500 (multiplicity 1)
Os 0.500 0.500 0.277 (multiplicity 2)

Properties
For the total energy, the calculation gives -71.272 eV/atom. As for the polymorph energy (0 for the lowest one): 0.000 eV/atom. The density of states at the Fermi level comes out at 0.71 states/eV per atom. The crystal system is tetragonal.

***

No. 6
Ti3Fe2SbP6O24: single point on PBEsol structure, SCAN.

Cell: 8.7679 8.7679 19.9227 Å, 90.00 90.00 120.00°
Space group R3 (No. 146, hexagonal axes)
Symmetry-distinct sites (fractional):
Ti 0.0000 0.0000 0.0000 (multiplicity 3)
Ti 0.0000 0.0000 0.2177 (multiplicity 3)
Ti 0.0000 0.0000 0.5094 (multiplicity 3)
Fe 0.0000 0.0000 0.3676 (multiplicity 3)
Fe 0.0000 0.0000 0.8649 (multiplicity 3)
Sb 0.0000 0.0000 0.7093 (multiplicity 3)
P 0.0029 0.7074 0.1113 (multiplicity 9)
P 0.0263 0.3549 0.2836 (multiplicity 9)
O 0.0039 0.8062 0.0476 (multiplicity 9)
O 0.0162 0.8212 0.1719 (multiplicity 9)
O 0.0208 0.8306 0.7888 (multiplicity 9)
O 0.0861 0.4175 0.3545 (multiplicity 9)
O 0.1570 0.4740 0.2293 (multiplicity 9)
O 0.1646 0.4862 0.6010 (multiplicity 9)
O 0.1670 0.6823 0.1086 (multiplicity 9)
O 0.1691 0.4970 0.9501 (multiplicity 9)

Properties
For the total energy, the calculation gives -11.729 eV/atom. The value obtained for the uncorrected formation energy is -2.46 eV/atom. The density of states at the Fermi level comes out at 0.40 states/eV per atom. The crystal system is trigonal.

***

No. 7
ZrAl4As: single point on PBEsol structure, SCAN.

Cell: 7.442 7.442 7.442 Å, 90.00 90.00 90.00°
Space group F-43m (No. 216)
Symmetry-distinct sites (fractional):
Zr 0.000 0.000 0.000 (multiplicity 4)
Al 0.126 0.126 0.374 (multiplicity 16)
As 0.250 0.250 0.750 (multiplicity 4)

Properties
For the total energy, the calculation gives -13.837 eV/atom. The density of states at the Fermi level comes out at 0.54 states/eV per atom. The crystal system is cubic.

***

No. 8
SrRe2Ru: single point on PBEsol structure, SCAN.

Cell: 5.304 9.490 2.700 Å, 90.00 90.00 90.00°
Space group Cmmm (No. 65)
Symmetry-distinct sites (fractional):
Sr 0.000 0.000 0.000 (multiplicity 2)
Re 0.250 0.250 0.500 (multiplicity 4)
Ru 0.000 0.500 0.000 (multiplicity 2)

Properties
For the total energy, the calculation gives -48.655 eV/atom. The density of states at the Fermi level comes out at 1.04 states/eV per atom. The crystal system is orthorhombic.

***

No. 9
SrSm3Mn4O12: single point on PBEsol structure, SCAN.

Cell: 5.367 7.616 5.471 Å, 90.00 90.11 90.00°
Space group Pm (No. 6)
Symmetry-distinct sites (fractional):
Sr 0.000 0.000 0.000 (multiplicity 1)
Sm 0.018 0.500 0.913 (multiplicity 1)
Sm 0.498 0.500 0.419 (multiplicity 1)
Sm 0.520 0.000 0.516 (multiplicity 1)
Mn 0.006 0.250 0.463 (multiplicity 2)
Mn 0.509 0.250 0.967 (multiplicity 2)
O 0.090 0.000 0.461 (multiplicity 1)
O 0.221 0.299 0.179 (multiplicity 2)
O 0.291 0.296 0.680 (multiplicity 2)
O 0.451 0.000 0.942 (multiplicity 1)
O 0.591 0.500 0.989 (multiplicity 1)
O 0.708 0.214 0.264 (multiplicity 2)
O 0.786 0.221 0.745 (multiplicity 2)
O 0.930 0.500 0.479 (multiplicity 1)

Properties
For the total energy, the calculation gives -18.155 eV/atom. The value obtained for the uncorrected formation energy is -2.98 eV/atom. The density of states at the Fermi level comes out at 0.11 states/eV per atom. The crystal system is monoclinic.

***

No. 10
SrZn3I: single point on PBEsol structure, SCAN.

Cell: 5.405 5.405 5.405 Å, 90.00 90.00 90.00°
Space group Pm-3m (No. 221)
Symmetry-distinct sites (fractional):
Sr 0.000 0.000 0.000 (multiplicity 1)
Zn 0.000 0.500 0.500 (multiplicity 3)
I 0.500 0.500 0.500 (multiplicity 1)

Properties
For the total energy, the calculation gives -19.321 eV/atom. The value obtained for the uncorrected formation energy is 0.59 eV/atom. The density of states at the Fermi level comes out at 0.48 states/eV per atom. The crystal system is cubic.

***

No. 11
Co2TcPt: single point on PBEsol structure, SCAN.

Cell: 3.608 3.608 7.515 Å, 90.00 90.00 90.00°
Space group I-4m2 (No. 119)
Symmetry-distinct sites (fractional):
Co 0.000 0.000 0.000 (multiplicity 2)
Co 0.000 0.500 0.250 (multiplicity 2)
Tc 0.000 0.000 0.500 (multiplicity 2)
Pt 0.000 0.500 0.750 (multiplicity 2)

Properties
For the total energy, the calculation gives -34.994 eV/atom. As for the polymorph energy (0 for the lowest one): 0.000 eV/atom. The density of states at the Fermi level comes out at 0.71 states/eV per atom. The crystal system is tetragonal.

***

No. 12
AgSnSe2: single point on PBEsol structure, SCAN.

Cell: 3.6157 3.6157 26.1176 Å, 90.00 90.00 120.00°
Space group R-3m (No. 166, hexagonal axes)
Symmetry-distinct sites (fractional):
Ag 0.0000 0.0000 0.0000 (multiplicity 3)
Sn 0.0000 0.0000 0.5000 (multiplicity 3)
Se 0.0000 0.0000 0.3926 (multiplicity 6)

Properties
For the total energy, the calculation gives -26.697 eV/atom. The value obtained for the uncorrected formation energy is 0.16 eV/atom. The density of states at the Fermi level comes out at 0.68 states/eV per atom. The crystal system is trigonal.

***

no.,total magnetic moment (μB/atom)
1,1.971
2,0.000
3,0.000
4,0.000
5,0.000
6,0.194
7,0.000
8,0.000
9,0.750
10,0.000
11,0.891
12,0.000